# PBE KNaZrTe3, relaxed
# Calculated density (g/cm3): 4.5
# DFT total energy (eV/cell): -104.76
data_KNaZrTe3
_chemical_formula_sum 'K4 Na4 Zr4 Te12'
_cell_length_a 7.665
_cell_length_b 13.095
_cell_length_c 8.281
_cell_angle_alpha 90.00
_cell_angle_beta 106.84
_cell_angle_gamma 90.00
_space_group_name_H-M_alt 'C 1 2/m 1'
_space_group_IT_number 12
_space_group_name_Hall '-C 2y'
loop_
_atom_site_label
_atom_site_fract_x
_atom_site_fract_y
_atom_site_fract_z
K1 0.000 0.154 0.000
Na1 0.000 0.000 0.500
Na2 0.000 0.500 0.000
Zr1 0.000 0.329 0.500
Te1 0.193 0.500 0.712
Te2 0.249 0.178 0.709